[1]
! KInTe PBE-GGA optimized geometry; values from VASP
&SYSTEM
  ibrav = 0, nat = 3, ntyp = 3
/
ATOMIC_SPECIES
In 114.82 In.upf
K 39.10 K.upf
Te 127.60 Te.upf
CELL_PARAMETERS angstrom
5.7056 0.0000 0.0000
2.8528 4.9412 0.0000
2.8528 1.6471 4.6586
ATOMIC_POSITIONS angstrom
In 0.0000 0.0000 0.0000
K 5.7056 3.2941 2.3293
Te 8.5584 4.9412 3.4939
! formation energy (no corrections) = -0.5161 eV/atom
! excess energy over the best structure of this formula in the dataset = 162 meV per atom
! total DFT energy (no corrections) = -0.209 Ry per atom
! mass density = 3559 kg/m3



[2]
! K3Ba3RuO8 PBE-GGA optimized geometry; values from VASP
&SYSTEM
  ibrav = 0, nat = 15, ntyp = 4
/
ATOMIC_SPECIES
K 39.10 K.upf
Ba 137.33 Ba.upf
Ru 101.07 Ru.upf
O 16.00 O.upf
CELL_PARAMETERS angstrom
-0.8365 -6.9487 -2.8216
5.3716 1.3722 5.1196
-7.3638 0.0086 2.1612
ATOMIC_POSITIONS angstrom
K 0.0000 0.0000 0.0000
K 2.6858 0.6861 2.5598
K 2.2675 -2.7883 1.1490
Ba -4.1002 -3.4700 -0.3302
Ba -1.4144 -2.7839 2.2296
Ba -0.9961 0.6904 3.6404
Ru -3.6819 0.0043 1.0806
O 0.5228 -1.0876 2.5235
O -3.3515 -4.4803 1.9358
O 0.3392 -4.8091 1.6517
O -3.1679 -0.7588 2.8076
O -3.0413 -5.6726 -1.5701
O 0.2125 0.1047 6.0294
O -2.5148 -1.2998 0.2055
O -0.3139 -4.2681 4.2538
! formation energy (no corrections) = -1.6956 eV/atom
! total DFT energy (no corrections) = -0.409 Ry per atom
! mass density = 4042 kg/m3



[3]
! AcCoAs2 PBE-GGA optimized geometry; values from VASP
&SYSTEM
  ibrav = 0, nat = 8, ntyp = 3
/
ATOMIC_SPECIES
Ac 227.00 Ac.upf
Co 58.93 Co.upf
As 74.92 As.upf
CELL_PARAMETERS angstrom
-6.3374 8.3994 2.4713
-3.6585 10.1791 -0.0876
-2.7390 -0.1719 -3.0595
ATOMIC_POSITIONS angstrom
Ac -3.6191 2.1113 -2.4351
Ac -9.1165 16.3157 1.6884
Co -3.1840 4.6099 -0.1975
Co -9.5515 13.8132 -0.5354
As -4.9717 5.6053 -1.4175
As -7.7639 12.8200 0.6769
As -5.1807 10.0099 -1.5340
As -7.5821 9.1449 -1.7559
! excess energy over the best structure of this formula in the dataset = 0 meV per atom
! energy of formation from the pure elements = -783 meV per atom
! total DFT energy (no corrections) = -0.434 Ry per atom
! mass density = 8227 kg/m3



Which value of mass density does entry 1 give?
3559 kg/m3



Copy entry 1 word for word.
! KInTe PBE-GGA optimized geometry; values from VASP
&SYSTEM
  ibrav = 0, nat = 3, ntyp = 3
/
ATOMIC_SPECIES
In 114.82 In.upf
K 39.10 K.upf
Te 127.60 Te.upf
CELL_PARAMETERS angstrom
5.7056 0.0000 0.0000
2.8528 4.9412 0.0000
2.8528 1.6471 4.6586
ATOMIC_POSITIONS angstrom
In 0.0000 0.0000 0.0000
K 5.7056 3.2941 2.3293
Te 8.5584 4.9412 3.4939
! formation energy (no corrections) = -0.5161 eV/atom
! excess energy over the best structure of this formula in the dataset = 162 meV per atom
! total DFT energy (no corrections) = -0.209 Ry per atom
! mass density = 3559 kg/m3



Which formula does entry 2 have?
K3Ba3RuO8